The following is a DFT calculation (PBE-GGA) of a relaxed structure of BiPAuS.

VASP energy: -4.1553 eV per atom
Symmetry: R3m (160)
D(E_F): 0.35 states/eV/atom
Uncorrected formation energy: 0.02 eV per atom

Unit cell a=7.489 b=7.489 c=7.489 alpha=30.39 beta=30.39 gamma=30.39
Fractional coordinates of all 4 atoms:
Bi 0.000 0.000 0.000
P 0.855 0.855 0.855
Au 0.237 0.237 0.237
S 0.758 0.758 0.758